An optimized crystal structure of Tm2Mn3Sb3O14. Source: the Alexandria database, functional PBE+U.

Lattice parameters (Å, degrees): 7.144 7.144 7.245 61.45 61.45 61.57
Last column: magnetic moment on the atom in μB.
Positions (direct):
Tm1 0.000 0.500 0.000  0.02
Tm2 0.500 0.000 0.000  0.02
Mn1 0.500 0.500 0.500  3.89
Mn2 0.000 0.000 0.000  4.66
Mn3 0.000 0.000 0.500  4.68
Sb1 0.500 0.500 0.000  0.01
Sb2 0.500 0.000 0.500  0.01
Sb3 0.000 0.500 0.500  0.01
O1 0.879 0.879 0.875  0.03
O2 0.121 0.121 0.125  0.03
O3 0.594 0.594 0.144  0.04
O4 0.170 0.170 0.566  0.02
O5 0.569 0.172 0.593  -0.02
O6 0.169 0.584 0.173  0.01
O7 0.584 0.169 0.173  0.01
O8 0.172 0.569 0.593  -0.02
O9 0.406 0.406 0.856  0.04
O10 0.830 0.830 0.434  0.02
O11 0.431 0.828 0.407  -0.02
O12 0.831 0.416 0.827  0.01
O13 0.416 0.831 0.827  0.01
O14 0.828 0.431 0.407  -0.02

Summary:
Energy   -7.183 eV/atom
Symmetry   C2/m, No. 12
Magnetization   0.636 μB per atom